1.
! TaMnHOs2 | the Alexandria database | PBE | relaxed; values from VASP
! * raw total energy: -9.442 eV per atom
! * density of states at the Fermi level: 3.42 states/eV per cell
! * symmetry: P4/mmm, No. 123
! * energy above the most stable polymorph in this dataset: 0.000 eV/atom
&SYSTEM
  ibrav = 0, nat = 5, ntyp = 4
/
ATOMIC_SPECIES
H 1.01 H.upf
Mn 54.94 Mn.upf
Os 190.23 Os.upf
Ta 180.95 Ta.upf
ATOMIC_POSITIONS crystal
H 0.000 0.000 0.000
Mn 0.000 0.000 0.500
Os 0.000 0.500 0.000
Os 0.500 0.000 0.000
Ta 0.500 0.500 0.500
CELL_PARAMETERS angstrom
-3.671 -1.300 0.826
-0.038 -2.056 -3.409
1.480 -3.029 1.811

2.
! CaPm2Zn2Ge2 | the Alexandria database | PBE | relaxed; values from VASP
! * raw total energy: -3.745 eV per atom
! * density of states at the Fermi level: 4.53 states/eV per cell
! * symmetry: R-3m, No. 166
! * energy relative to the elements: -40 kJ per mole of atoms
&SYSTEM
  ibrav = 0, nat = 7, ntyp = 4
/
ATOMIC_SPECIES
Ca 40.08 Ca.upf
Pm 145.00 Pm.upf
Zn 65.41 Zn.upf
Ge 72.64 Ge.upf
ATOMIC_POSITIONS crystal
Ca 0.000 0.000 0.000
Pm 0.122 0.122 0.634
Pm 0.878 0.878 0.366
Zn 0.600 0.600 0.199
Zn 0.400 0.400 0.801
Ge 0.728 0.728 0.815
Ge 0.272 0.272 0.185
CELL_PARAMETERS angstrom
-3.514 2.233 -0.688
-3.321 -1.814 -1.867
-6.300 -3.033 9.388

3.
! CaSc2Ir | the Alexandria database | PBE | relaxed; values from VASP
! * raw total energy: -5.990 eV per atom
! * density of states at the Fermi level: 4.45 states/eV per cell
! * symmetry: F-43m, No. 216
! * energy relative to the elements: -10 kJ per mole of atoms
&SYSTEM
  ibrav = 0, nat = 4, ntyp = 3
/
ATOMIC_SPECIES
Sc 44.96 Sc.upf
Ca 40.08 Ca.upf
Ir 192.22 Ir.upf
ATOMIC_POSITIONS crystal
Sc 0.000 0.000 0.000
Sc 0.250 0.250 0.250
Ca 0.500 0.500 0.500
Ir 0.750 0.750 0.750
CELL_PARAMETERS angstrom
4.912 0.000 0.000
2.456 4.254 0.000
2.456 1.418 4.011